Below is SrZr2Pt after structural relaxation, with properties calculated at the GGA-PBEsol level.

The structure in extended XYZ format:
```
4
Lattice="-0.319 0.706 -4.130 -4.102 -0.893 0.164 -1.026 4.881 0.913" Properties=species:S:1:pos:R:3 pbc="T T T"
Pt -2.723 2.347 -1.526
Sr -0.513 2.440 0.457
Zr -2.051 -0.446 0.082
Zr -0.159 0.353 -2.065
```

Calculated values
SG = P4/mmm, No. 123
DFT formation energy = 0.0645 eV per atom
total DFT energy (no corrections) = -6.681 eV per atom

***

Below is Ba2TlGeC after structural relaxation, with properties calculated at the GGA-PBEsol level.

The structure in extended XYZ format:
```
5
Lattice="3.958 0.000 0.000 0.000 6.499 0.000 0.000 0.000 6.499" Properties=species:S:1:pos:R:3 pbc="T T T"
C 1.979 0.000 0.000
Tl 0.000 0.000 0.000
Ge 1.979 3.250 3.250
Ba 0.000 0.000 3.250
Ba 0.000 3.250 0.000
```

Calculated values
SG = P4/mmm, No. 123
DFT formation energy = 0.8434 eV per atom
total DFT energy (no corrections) = -3.459 eV per atom

***

Below is MgZnBrCl2 after structural relaxation, with properties calculated at the GGA-PBEsol level.

The structure in extended XYZ format:
```
5
Lattice="-0.024 -2.891 -3.724 -3.575 -2.418 1.900 -3.553 3.274 -2.519" Properties=species:S:1:pos:R:3 pbc="T T T"
Zn -3.576 -1.018 -2.172
Mg 0.000 0.000 0.000
Br -1.776 1.637 -1.259
Cl -1.787 -1.209 0.950
Cl -0.012 -1.446 -1.862
```

Calculated values
SG = P4/mmm, No. 123
total DFT energy (no corrections) = -2.691 eV per atom

***

Below is CdRu2Se after structural relaxation, with properties calculated at the GGA-PBEsol level.

The structure in extended XYZ format:
```
4
Lattice="2.887 0.000 0.000 0.000 2.887 0.000 0.000 0.000 7.895" Properties=species:S:1:pos:R:3 pbc="T T T"
Cd 1.443 1.443 6.198
Ru 0.000 0.000 0.243
Ru 1.443 1.443 1.912
Se 0.000 0.000 3.490
```

Calculated values
SG = P4mm, No. 99
total DFT energy (no corrections) = -6.175 eV per atom
energy above the lowest structure with this stoichiometry = 0 kJ/mol of formula units

***

Below is ZrCr2Tc after structural relaxation, with properties calculated at the GGA-PBEsol level.

The structure in extended XYZ format:
```
4
Lattice="2.692 -0.006 0.000 -0.978 2.508 0.000 0.000 0.000 8.448" Properties=species:S:1:pos:R:3 pbc="T T T"
Cr 0.000 0.000 2.288
Cr 0.000 0.000 6.159
Tc 0.857 1.251 4.224
Zr 0.857 1.251 0.000
```

Calculated values
SG = Cmmm, No. 65
DFT formation energy = 0.2791 eV per atom
total DFT energy (no corrections) = -9.931 eV per atom
energy above the lowest structure with this stoichiometry = 61 kJ/mol of formula units

***

Below is CaMgPb2 after structural relaxation, with properties calculated at the GGA-PBEsol level.

The structure in extended XYZ format:
```
4
Lattice="-1.467 0.624 -3.249 2.328 -3.096 -1.646 -5.163 -4.648 1.439" Properties=species:S:1:pos:R:3 pbc="T T T"
Pb -3.753 -3.378 1.046
Pb -1.410 -1.269 0.393
Ca 0.430 -1.236 -2.447
Mg -2.151 -3.560 -1.728
```

Calculated values
SG = Pmmm, No. 47
DFT formation energy = -0.3153 eV per atom
total DFT energy (no corrections) = -3.277 eV per atom

***

Below is Hg2GeSeF after structural relaxation, with properties calculated at the GGA-PBEsol level.

The structure in extended XYZ format:
```
5
Lattice="4.190 0.000 0.000 0.000 5.098 0.000 0.000 0.000 5.098" Properties=species:S:1:pos:R:3 pbc="T T T"
Ge 2.095 2.549 2.549
Hg 0.000 0.000 2.549
Hg 0.000 2.549 0.000
Se 2.095 0.000 0.000
F 0.000 0.000 0.000
```

Calculated values
SG = P4/mmm, No. 123
total DFT energy (no corrections) = -2.226 eV per atom

***

Below is Ga3TcMo after structural relaxation, with properties calculated at the GGA-PBEsol level.

The structure in extended XYZ format:
```
5
Lattice="-1.403 -1.340 4.312 2.986 -3.663 -0.167 3.387 2.674 1.933" Properties=species:S:1:pos:R:3 pbc="T T T"
Mo 0.000 0.000 0.000
Tc 2.485 -1.164 3.039
Ga 1.493 -1.831 -0.083
Ga 1.694 1.337 0.966
Ga -0.701 -0.670 2.156
```

Calculated values
SG = Pm-3m, No. 221
DFT formation energy = 1.2275 eV per atom
total DFT energy (no corrections) = -5.383 eV per atom

***

Below is CdRu2F after structural relaxation, with properties calculated at the GGA-PBEsol level.

The structure in extended XYZ format:
```
4
Lattice="-0.906 -3.054 -2.986 -2.619 -3.341 1.020 -4.002 -0.243 -1.728" Properties=species:S:1:pos:R:3 pbc="T T T"
Ru -1.882 -1.660 -0.923
Ru -5.646 -4.979 -2.770
F 0.000 0.000 0.000
Cd -3.764 -3.319 -1.847
```

Calculated values
SG = Fm-3m, No. 225
total DFT energy (no corrections) = -5.104 eV per atom

***

Below is RbAgH2 after structural relaxation, with properties calculated at the GGA-PBEsol level.

The structure in extended XYZ format:
```
8
Lattice="5.691 0.012 0.017 -2.774 4.969 -0.017 -2.774 -1.720 4.661" Properties=species:S:1:pos:R:3 pbc="T T T"
H -1.609 3.695 0.572
H 0.365 3.722 2.911
H 0.293 1.500 0.994
H 1.236 4.293 0.167
Ag 0.000 0.000 0.000
Ag 0.071 3.303 1.161
Rb -2.774 1.624 2.322
Rb 0.071 -0.042 3.500
```

Calculated values
SG = I-42d, No. 122
total DFT energy (no corrections) = -2.819 eV per atom
energy above the lowest structure with this stoichiometry = 0 kJ/mol of formula units

***

Below is Co3TeH after structural relaxation, with properties calculated at the GGA-PBEsol level.

The structure in extended XYZ format:
```
5
Lattice="3.693 0.000 0.000 0.000 3.693 0.000 0.000 0.000 3.693" Properties=species:S:1:pos:R:3 pbc="T T T"
H 0.000 0.000 0.000
Te 1.846 1.846 1.846
Co 0.000 1.846 0.000
Co 0.000 0.000 1.846
Co 1.846 0.000 0.000
```

Calculated values
SG = Pm-3m, No. 221
total DFT energy (no corrections) = -5.961 eV per atom
energy above the lowest structure with this stoichiometry = 0 kJ/mol of formula units

***

Below is AlAsPdBr2 after structural relaxation, with properties calculated at the GGA-PBEsol level.

The structure in extended XYZ format:
```
5
Lattice="-3.317 3.161 -1.592 -0.159 -2.313 -4.260 -3.606 -2.918 1.719" Properties=species:S:1:pos:R:3 pbc="T T T"
As -1.803 -1.459 0.859
Br -0.079 -1.157 -2.130
Br -1.659 1.580 -0.796
Pd -3.541 -1.035 -2.067
Al 0.000 0.000 0.000
```

Calculated values
SG = P4/mmm, No. 123
total DFT energy (no corrections) = -3.415 eV per atom
energy above the lowest structure with this stoichiometry = 59 kJ/mol of formula units

***

Below is MnAu2 after structural relaxation, with properties calculated at the GGA-PBEsol level.

The structure in extended XYZ format:
```
6
Lattice="3.876 0.000 0.000 -1.938 4.592 0.114 0.000 -2.081 5.350" Properties=species:S:1:pos:R:3 pbc="T T T"
Au 1.938 -1.505 4.100
Au 0.000 0.344 3.244
Au 1.938 2.166 2.220
Au 0.000 4.015 1.364
Mn 0.000 1.330 0.562
Mn 1.938 1.180 4.901
```

Calculated values
SG = C2/m, No. 12
DFT formation energy = 0.0500 eV per atom
total DFT energy (no corrections) = -5.820 eV per atom
energy above the lowest structure with this stoichiometry = 27 kJ/mol of formula units

***

Below is LiNbCrSn2 after structural relaxation, with properties calculated at the GGA-PBEsol level.

The structure in extended XYZ format:
```
5
Lattice="-1.809 -0.292 -4.284 4.483 -2.345 -1.733 -2.047 -4.795 1.191" Properties=species:S:1:pos:R:3 pbc="T T T"
Cr -0.904 -0.146 -2.142
Nb 0.000 0.000 0.000
Sn -1.023 -2.397 0.596
Sn 2.242 -1.172 -0.867
Li 0.314 -3.716 -2.413
```

Calculated values
SG = P4/mmm, No. 123
DFT formation energy = 0.6740 eV per atom
total DFT energy (no corrections) = -5.636 eV per atom

***

Below is HfTiMo3 after structural relaxation, with properties calculated at the GGA-PBEsol level.

The structure in extended XYZ format:
```
5
Lattice="-2.844 3.351 -1.564 -3.433 -1.659 2.689 1.376 2.790 3.477" Properties=species:S:1:pos:R:3 pbc="T T T"
Mo -1.716 -0.829 1.345
Mo 0.688 1.395 1.739
Mo -1.422 1.676 -0.782
Hf 0.000 0.000 0.000
Ti -2.451 2.241 2.301
```

Calculated values
SG = Pm-3m, No. 221
DFT formation energy = 1.9376 eV per atom
total DFT energy (no corrections) = -8.888 eV per atom

***

Below is YFe2W after structural relaxation, with properties calculated at the GGA-PBEsol level.

The structure in extended XYZ format:
```
4
Lattice="3.116 0.000 0.000 0.000 3.983 0.000 -1.558 0.000 5.120" Properties=species:S:1:pos:R:3 pbc="T T T"
Fe 1.558 0.000 3.063
Fe 1.558 1.992 1.693
W 0.000 0.000 1.249
Y 0.000 1.992 4.158
```

Calculated values
SG = Amm2, No. 38
DFT formation energy = 0.3487 eV per atom
total DFT energy (no corrections) = -9.290 eV per atom
energy above the lowest structure with this stoichiometry = 13 kJ/mol of formula units

***

Below is Zr2BeAg after structural relaxation, with properties calculated at the GGA-PBEsol level.

The structure in extended XYZ format:
```
4
Lattice="-0.019 1.781 2.427 -2.812 -0.876 0.621 2.721 -5.735 4.230" Properties=species:S:1:pos:R:3 pbc="T T T"
Be 0.530 -3.648 4.548
Zr 2.623 -5.528 4.077
Zr -0.692 -1.073 2.648
Ag 1.511 -3.184 2.349
```

Calculated values
SG = P4mm, No. 99
DFT formation energy = -0.0134 eV per atom
total DFT energy (no corrections) = -6.386 eV per atom

***

Below is SmGe2Ir2 after structural relaxation, with properties calculated at the GGA-PBEsol level.

The structure in extended XYZ format:
```
10
Lattice="-0.882 4.005 0.930 -4.104 -0.914 0.041 0.576 -2.148 9.797" Properties=species:S:1:pos:R:3 pbc="T T T"
Ge -2.205 0.472 5.384
Ge -1.552 -2.321 8.524
Ge 0.288 -1.074 4.898
Ge -0.365 1.719 1.759
Ir 0.000 0.000 0.000
Ir -0.227 1.205 4.104
Ir -1.690 -1.807 6.179
Ir -2.493 1.546 0.486
Sm -0.011 0.399 7.778
Sm -1.906 -1.001 2.504
```

Calculated values
SG = P4/nmm, No. 129
DFT formation energy = -0.7949 eV per atom
total DFT energy (no corrections) = -7.718 eV per atom

***

Below is CoMoOs2 after structural relaxation, with properties calculated at the GGA-PBEsol level.

The structure in extended XYZ format:
```
4
Lattice="-2.277 1.075 -0.909 -2.292 -2.844 2.376 2.273 3.871 2.829" Properties=species:S:1:pos:R:3 pbc="T T T"
Co -1.138 0.538 -0.455
Mo -1.146 -1.422 1.188
Os -2.291 0.799 2.741
Os -0.005 1.304 1.555
```

Calculated values
SG = Immm, No. 71
DFT formation energy = 0.2787 eV per atom
total DFT energy (no corrections) = -10.706 eV per atom
energy above the lowest structure with this stoichiometry = 102 kJ/mol of formula units

***

Below is Dy9Al5S21 after structural relaxation, with properties calculated at the GGA-PBEsol level.

The structure in extended XYZ format:
```
70
Lattice="11.234 0.052 0.057 -0.846 11.202 0.057 -0.846 -0.917 11.165" Properties=species:S:1:pos:R:3 pbc="T T T"
Dy 9.210 8.206 1.365
Dy 2.102 0.365 5.069
Dy 5.244 3.756 8.591
Dy 7.786 5.885 4.488
Dy -0.092 9.233 8.294
Dy 4.834 2.496 0.804
Dy 0.196 4.865 2.556
Dy 3.324 8.078 6.253
Dy 7.444 0.505 9.918
Dy 4.174 6.395 2.395
Dy 7.425 9.969 6.211
Dy 0.135 1.960 9.803
Dy 4.711 7.827 10.471
Dy 9.554 0.902 2.805
Dy 1.491 4.307 6.579
Dy 1.943 9.741 1.142
Dy 6.041 1.980 4.863
Dy 9.344 5.475 8.707
Al 3.706 -0.105 8.058
Al 7.715 4.337 0.596
Al -0.401 7.708 4.372
Al 1.306 5.341 9.901
Al 5.220 9.713 2.583
Al 9.265 2.053 6.181
Al 8.194 8.877 9.685
Al 1.673 1.813 1.977
Al 6.458 6.997 7.634
Al 3.406 3.691 4.026
S 4.874 1.194 9.428
S 8.869 5.601 2.008
S 0.800 8.962 5.754
S -0.759 3.198 7.549
S 3.248 7.564 0.156
S 7.280 -0.178 3.842
S 3.894 2.959 6.243
S 7.237 6.644 10.059
S 0.074 10.933 2.715
S 1.743 0.214 11.127
S 5.632 4.359 3.491
S 8.835 7.968 7.493
S 6.045 9.348 8.589
S 10.892 2.622 1.180
S 2.639 5.862 4.645
S 2.725 4.137 1.707
S 5.937 7.751 5.505
S 9.875 -0.201 8.927
S 4.320 6.302 8.200
S 8.093 10.556 0.576
S 1.119 2.824 4.270
S -0.989 8.040 10.566
S 3.906 1.436 3.184
S 7.251 4.916 6.991
S 4.599 -0.406 6.026
S 7.799 3.194 9.742
S 0.469 7.542 2.303
S 1.596 0.598 7.713
S 5.652 5.067 0.119
S 8.774 8.528 4.028
S 2.560 9.007 8.846
S 7.480 2.201 1.266
S -0.773 5.608 5.058
S -0.551 4.471 10.800
S 3.328 8.857 3.402
S 7.361 1.250 7.088
S 2.346 3.527 9.119
S 6.342 7.894 1.861
S 10.382 0.280 5.392
S 0.658 6.415 8.025
S 4.500 10.776 0.747
S 8.563 3.040 4.306
```

Calculated values
SG = R3, No. 146
total DFT energy (no corrections) = -6.268 eV per atom

***

Below is Li3Eu after structural relaxation, with properties calculated at the GGA-PBEsol level.

The structure in extended XYZ format:
```
8
Lattice="-0.806 -4.883 1.515 5.207 0.534 4.494 -6.411 1.659 1.936" Properties=species:S:1:pos:R:3 pbc="T T T"
Li -1.980 0.581 5.240
Li -1.295 -0.668 1.580
Li -4.944 0.276 2.682
Li -0.030 -3.271 2.705
Li -0.715 -2.022 6.364
Li 2.934 -2.967 5.263
Eu -3.143 -2.379 3.925
Eu 1.133 -0.312 4.020
```

Calculated values
SG = P6_3/mmc, No. 194
DFT formation energy = 0.1094 eV per atom
total DFT energy (no corrections) = -4.006 eV per atom

***

Below is Ni2IrBr after structural relaxation, with properties calculated at the GGA-PBEsol level.

The structure in extended XYZ format:
```
4
Lattice="-2.064 0.318 -1.899 -0.354 -4.489 -0.366 -1.646 2.058 4.230" Properties=species:S:1:pos:R:3 pbc="T T T"
Br -0.177 -2.245 -0.183
Ir -1.032 0.159 -0.950
Ni -2.590 -2.099 0.366
Ni -1.473 -0.014 1.599
```

Calculated values
SG = Immm, No. 71
total DFT energy (no corrections) = -5.260 eV per atom
energy above the lowest structure with this stoichiometry = 77 kJ/mol of formula units

***

Below is ZrZnCoW2 after structural relaxation, with properties calculated at the GGA-PBEsol level.

The structure in extended XYZ format:
```
5
Lattice="-2.077 -2.264 2.795 3.479 -2.987 0.165 1.920 2.423 3.390" Properties=species:S:1:pos:R:3 pbc="T T T"
Zn 0.000 0.000 0.000
Co -1.038 -1.132 1.397
Zr 1.661 -1.414 3.175
W 0.960 1.212 1.695
W 1.739 -1.493 0.082
```

Calculated values
SG = P4/mmm, No. 123
DFT formation energy = 1.3708 eV per atom
total DFT energy (no corrections) = -7.834 eV per atom

***

Below is KSnH2 after structural relaxation, with properties calculated at the GGA-PBEsol level.

The structure in extended XYZ format:
```
4
Lattice="4.509 0.000 0.000 2.254 3.905 0.000 2.254 1.302 3.681" Properties=species:S:1:pos:R:3 pbc="T T T"
H 2.254 1.302 0.920
H 6.763 3.905 2.761
K 0.000 0.000 0.000
Sn 4.509 2.603 1.841
```

Calculated values
SG = Fm-3m, No. 225
total DFT energy (no corrections) = -2.532 eV per atom

***

Below is GaHgAs2Br after structural relaxation, with properties calculated at the GGA-PBEsol level.

The structure in extended XYZ format:
```
5
Lattice="-2.479 -0.871 4.183 2.565 -4.171 0.652 3.520 2.575 2.623" Properties=species:S:1:pos:R:3 pbc="T T T"
As 1.283 -2.085 0.326
As -1.240 -0.436 2.091
Ga 0.000 0.000 0.000
Hg 1.803 -1.234 3.728
Br 1.760 1.287 1.311
```

Calculated values
SG = P4/mmm, No. 123
total DFT energy (no corrections) = -2.725 eV per atom